No. 1
ThPaOsSe | GGA-PBE | relaxed

Calculated values
Density ... 11.77 g/cm³
DOS at the Fermi energy ... 4.525 states/eV/f.u.
E_form (uncorrected) ... -0.846 eV/atom

The structure in CIF format:
```
data_ThPaOsSe
_chemical_formula_sum 'Th1 Pa1 Os1 Se1'
_symmetry_space_group_name_H-M 'P 1'
_symmetry_Int_Tables_number 1
_symmetry_space_group_name_Hall 'P 1'
_cell_length_a 4.0134
_cell_length_b 4.0136
_cell_length_c 7.7636
_cell_angle_alpha 90.00
_cell_angle_beta 105.00
_cell_angle_gamma 120.00
loop_
_atom_site_label
_atom_site_type_symbol
_atom_site_fract_x
_atom_site_fract_y
_atom_site_fract_z
_atom_site_occupancy
Th1 Th 0.4914 0.1436 0.6502 1
Pa1 Pa 0.1106 0.9532 0.0790 1
Os1 Os 0.3155 0.5557 0.8865 1
Se1 Se 0.9604 0.3783 0.3539 1
```

=====

No. 2
ThGe2MoRu | GGA-PBE | relaxed

Calculated values
Density ... 9.95 g/cm³
ΔE_f ... -0.430 eV per atom
DOS at the Fermi energy ... 6.244 states/eV/f.u.

The structure in CIF format:
```
data_ThGe2MoRu
_chemical_formula_sum 'Th1 Ge2 Mo1 Ru1'
_symmetry_space_group_name_H-M 'P 1'
_symmetry_Int_Tables_number 1
_symmetry_space_group_name_Hall 'P 1'
_cell_length_a 4.3365
_cell_length_b 4.3365
_cell_length_c 5.9481
_cell_angle_alpha 111.38
_cell_angle_beta 111.38
_cell_angle_gamma 90.00
loop_
_atom_site_label
_atom_site_type_symbol
_atom_site_fract_x
_atom_site_fract_y
_atom_site_fract_z
_atom_site_occupancy
Th1 Th 0.0000 0.0000 0.0000 1
Ge1 Ge 0.6268 0.6268 0.2537 1
Ge2 Ge 0.3732 0.3732 0.7463 1
Mo1 Mo 0.7500 0.2500 0.5000 1
Ru1 Ru 0.2500 0.7500 0.5000 1
```

=====

How do the records compare in total magnetization? In the order shown, they have 0.00, 0.09 μB/cell.